First-principles (PBE) data for a geometry-optimized Y2TmScSe4 structure, as listed in Alexandria.

It has space group P2/m (No. 10), with a = 6.953 Å, b = 3.982 Å, c = 7.019 Å, α = 90.00°, β = 109.00° and γ = 90.00°. Symmetry generates all atoms from Y at (0.000, 0.000, 0.000), Y at (0.500, 0.500, 0.000), Tm at (0.000, 0.500, 0.500), Sc at (0.500, 0.000, 0.500), Se at (0.251, 0.000, 0.740) and Se at (0.259, 0.500, 0.263).

The density is 6.39 g cm⁻³. For the total energy, the calculation gives -51.184 eV for the cell shown. The magnetic moment is 0.0 μB per formula unit. The value obtained for the formation energy (no corrections) is -1.6893 eV/atom.

***

First-principles (PBE) data for a geometry-optimized TlZn4Si structure, as listed in Alexandria.

It has space group F-43m (No. 216), with a = 7.596 Å, b = 7.596 Å, c = 7.596 Å, α = 90.00°, β = 90.00° and γ = 90.00°. Symmetry generates all atoms from Tl at (0.000, 0.000, 0.000), Zn at (0.124, 0.124, 0.624) and Si at (0.250, 0.250, 0.250).

The density is 7.49 g cm⁻³. For the total energy, the calculation gives -44.338 eV for the cell shown. The magnetic moment is 0.0 μB per formula unit. The value obtained for the formation energy (no corrections) is 0.3001 eV/atom.

***

First-principles (PBE) data for a geometry-optimized Pr4OsNCl2 structure, as listed in Alexandria.

It has space group P2/m (No. 10), with a = 6.898 Å, b = 3.941 Å, c = 7.734 Å, α = 90.00°, β = 106.71° and γ = 90.00°. Symmetry generates all atoms from Pr at (0.220, 0.000, 0.191), Pr at (0.232, 0.500, 0.801), Os at (0.500, 0.000, 0.000), N at (0.000, 0.500, 0.000), Cl at (0.000, 0.000, 0.500) and Cl at (0.500, 0.500, 0.500).

The density is 6.92 g cm⁻³. For the total energy, the calculation gives -50.844 eV for the cell shown. The magnetic moment is 0.0 μB per formula unit. The value obtained for the formation energy (no corrections) is -1.0597 eV/atom.

***

First-principles (PBE) data for a geometry-optimized PrErNb structure, as listed in Alexandria.

It has space group C2/m (No. 12), with a = 12.958 Å, b = 4.964 Å, c = 5.266 Å, α = 90.00°, β = 90.62° and γ = 90.00°. Symmetry generates all atoms from Pr at (0.103, 0.000, 0.222), Er at (0.110, 0.500, 0.776) and Nb at (0.250, 0.000, 0.665).

The density is 7.87 g cm⁻³. For the total energy, the calculation gives -74.346 eV for the cell shown. The magnetic moment is 0.0 μB per formula unit. Its formation energy from the elements is 275 meV/atom.

***

First-principles (PBE) data for a geometry-optimized ThNF structure, as listed in Alexandria.

It has space group P3m1 (No. 156), with a = 3.7909 Å, b = 3.7909 Å, c = 5.1732 Å, α = 90.00°, β = 90.00° and γ = 120.00°. Symmetry generates all atoms from Th at (0.0000, 0.0000, 0.0000), N at (0.6667, 0.3333, 0.8675) and F at (0.3333, 0.6667, 0.2489).

The value obtained for the polymorph energy (0 for the lowest one) is 0.4127 eV/atom. The density is 6.84 g cm⁻³. For the total energy, the calculation gives -24.949 eV for the cell shown. The magnetic moment is 0.0 μB per formula unit. The value obtained for the formation energy (no corrections) is -2.4442 eV/atom.

***

First-principles (PBE) data for a geometry-optimized HoTaW4 structure, as listed in Alexandria.

It has space group F-43m (No. 216), with a = 7.650 Å, b = 7.650 Å, c = 7.650 Å, α = 90.00°, β = 90.00° and γ = 90.00°. Symmetry generates all atoms from Ho at (0.000, 0.000, 0.000), Ta at (0.250, 0.250, 0.750) and W at (0.125, 0.125, 0.375).

The density is 16.04 g cm⁻³. For the total energy, the calculation gives -271.259 eV for the cell shown. The magnetic moment is 0.0 μB per formula unit. Its formation energy from the elements is 71 meV/atom.

***

- total energy of number 3 (Pr4OsNCl2)?
  -50.844 eV for the cell shown